A plane-wave DFT calculation with PBE+U was carried out for a relaxed structure of K3Sm3WO8.

## Properties
- Total energy: -6.828 eV/atom

Cell: 7.0134 7.0134 7.4907 Å, 117.89 117.89 59.57°
With the nearest neighbours (Å) after each atom.
Fractional positions:
K 0.0000 0.0000 0.0000  6 O 2.82-2.85
K 0.0000 0.5000 0.0000  6 O 2.81-2.84
K 0.5000 0.0000 0.0000  6 O 2.81-2.84
Sm 0.0000 0.5000 0.5000  6 O 2.34-2.40
Sm 0.5000 0.0000 0.5000  6 O 2.34-2.40
Sm 0.5000 0.5000 0.5000  6 O 2.34-2.39
W 0.0000 0.0000 0.5000  6 O 2.12-2.20
O 0.2070 0.7578 0.6731  1 W 2.12
O 0.2145 0.2145 0.6763  1 W 2.20, 2 Sm 2.36
O 0.2422 0.7930 0.3269  1 W 2.12
O 0.2723 0.2723 0.3131  3 Sm 2.34
O 0.7277 0.7277 0.6869  3 Sm 2.34
O 0.7578 0.2070 0.6731  1 W 2.12
O 0.7855 0.7855 0.3237  1 W 2.20, 2 Sm 2.36
O 0.7930 0.2422 0.3269  1 W 2.12

***

A plane-wave DFT calculation with PBE+U was carried out for a relaxed structure of KSmW2O8.

## Properties
- Total energy: -7.412 eV/atom

Cell: 7.7337 7.7337 7.5054 Å, 117.68 117.68 88.67°
With the nearest neighbours (Å) after each atom.
Fractional positions:
K 0.2120 0.7880 0.7500  10 O 2.88-3.12
K 0.7880 0.2120 0.2500  10 O 2.88-3.12
Sm 0.2250 0.7750 0.2500  6 O 2.34-2.36
Sm 0.7750 0.2250 0.7500  6 O 2.34-2.36
W 0.3003 0.3093 0.2837  4 O 1.83-2.01
W 0.3093 0.3003 0.7837  4 O 1.83-2.01
W 0.6907 0.6997 0.2163  4 O 1.83-2.01
W 0.6997 0.6907 0.7163  4 O 1.83-2.01
O 0.0436 0.2256 0.6858  1 W 1.83
O 0.0618 0.3696 0.1290  1 W 1.86
O 0.2256 0.0436 0.1858  1 W 1.83
O 0.2504 0.3741 0.5565  2 W 1.90-2.09
O 0.3696 0.0618 0.6290  1 W 1.86
O 0.3725 0.5908 0.0296  2 W 2.01-2.13
O 0.3741 0.2504 0.0565  2 W 1.90-2.09
O 0.4092 0.6275 0.4704  2 W 2.01-2.13
O 0.5908 0.3725 0.5296  2 W 2.01-2.13
O 0.6259 0.7496 0.9435  2 W 1.90-2.09
O 0.6275 0.4092 0.9704  2 W 2.01-2.13
O 0.6304 0.9382 0.3710  1 W 1.86
O 0.7496 0.6259 0.4435  2 W 1.90-2.09
O 0.7744 0.9564 0.8142  1 W 1.83
O 0.9382 0.6304 0.8710  1 W 1.86
O 0.9564 0.7744 0.3142  1 W 1.83

***

A plane-wave DFT calculation with PBE+U was carried out for a relaxed structure of KSmWO5.

## Properties
- Total energy: -7.126 eV/atom

Cell: 6.5021 6.5021 8.3093 Å, 104.26 104.26 105.51°
With the nearest neighbours (Å) after each atom.
Fractional positions:
K 0.1829 0.8171 0.7500  1 O 2.53
K 0.8171 0.1829 0.2500  1 O 2.53
Sm 0.5000 0.5000 0.0000  6 O 2.21-2.46
Sm 0.5000 0.5000 0.5000  6 O 2.21-2.46
W 0.1807 0.8193 0.2500  4 O 1.82
W 0.8193 0.1807 0.7500  4 O 1.82
O 0.1030 0.2561 0.9016  1 W 1.82
O 0.1906 0.6250 0.3743  1 W 1.82
O 0.2561 0.1030 0.4016  1 W 1.82
O 0.3750 0.8094 0.1257  1 W 1.82
O 0.4273 0.5727 0.7500  2 Sm 2.21
O 0.5727 0.4273 0.2500  2 Sm 2.21
O 0.6250 0.1906 0.8743  1 W 1.82
O 0.7439 0.8970 0.5984  1 W 1.82
O 0.8094 0.3750 0.6257  1 W 1.82
O 0.8970 0.7439 0.0984  1 W 1.82

***

A plane-wave DFT calculation with PBE+U was carried out for a relaxed structure of KSmW2O8.

## Properties
- Total energy: -7.406 eV/atom

Cell: 7.4699 7.4699 7.5538 Å, 113.62 113.62 92.74°
With the nearest neighbours (Å) after each atom.
Fractional positions:
K 0.1876 0.1876 0.0259  6 O 2.60-2.89
K 0.8124 0.8124 0.9741  6 O 2.60-2.89
Sm 0.1987 0.8013 0.5000  8 O 2.39-2.56
Sm 0.8013 0.1987 0.5000  8 O 2.39-2.56
W 0.2959 0.2959 0.5562  4 O 1.83-2.04
W 0.3367 0.6633 0.0000  4 O 1.82-1.96
W 0.6633 0.3367 0.0000  4 O 1.82-1.96
W 0.7041 0.7041 0.4438  4 O 1.83-2.04
O 0.0729 0.0729 0.3919  1 W 1.87
O 0.1509 0.4062 0.7596  2 W 1.96-2.15
O 0.1894 0.7195 0.1484  1 W 1.82
O 0.2049 0.4623 0.4353  1 W 1.83
O 0.2805 0.8106 0.8516  1 W 1.82
O 0.4062 0.1509 0.7596  2 W 1.96-2.15
O 0.4623 0.2049 0.4353  1 W 1.83
O 0.4830 0.4830 0.1556  3 W 2.04-2.18
O 0.5170 0.5170 0.8444  3 W 2.04-2.18
O 0.5377 0.7951 0.5647  1 W 1.83
O 0.5938 0.8491 0.2404  2 W 1.96-2.15
O 0.7195 0.1894 0.1484  1 W 1.82
O 0.7951 0.5377 0.5647  1 W 1.83
O 0.8106 0.2805 0.8516  1 W 1.82
O 0.8491 0.5938 0.2404  2 W 1.96-2.15
O 0.9271 0.9271 0.6081  1 W 1.87

***

A plane-wave DFT calculation with PBE+U was carried out for a relaxed structure of KSm2WO8.

## Properties
- Total energy: -7.046 eV/atom

Cell: 4.6836 4.9042 8.0137 Å, 93.11 95.44 93.53°
With the nearest neighbours (Å) after each atom.
Fractional positions:
K 0.0000 0.0000 0.0000  8 O 2.82-3.10
Sm 0.4308 0.4629 0.7131  6 O 2.31-2.45
Sm 0.5692 0.5371 0.2869  6 O 2.31-2.45
W 0.0000 0.0000 0.5000  6 O 1.94-1.97
O 0.1099 0.7242 0.3366  1 W 1.96
O 0.2605 0.9044 0.6923  1 W 1.97
O 0.2951 0.2660 0.4464  1 W 1.94
O 0.3427 0.4946 0.0050  1 O 1.48
O 0.6573 0.5054 0.9950  1 O 1.48
O 0.7049 0.7340 0.5536  1 W 1.94
O 0.7395 0.0956 0.3077  1 W 1.97
O 0.8901 0.2758 0.6634  1 W 1.96